{"formula": "Pa5NbP6", "functional": "PBE", "state": "optimized geometry", "cell": [[3.385, -5.901, 0.000], [3.385, 5.901, 0.000], [-2.306, 0.000, 6.315]], "species": ["Pa", "Pa", "Pa", "Pa", "Pa", "Nb", "P", "P", "P", "P", "P", "P"], "frac_coords": [[0.000, 0.000, 0.000], [0.165, 0.835, 0.500], [0.329, 0.671, 0.000], [0.671, 0.329, 0.000], [0.835, 0.165, 0.500], [0.500, 0.500, 0.500], [0.102, 0.421, 0.262], [0.264, 0.264, 0.746], [0.421, 0.102, 0.262], [0.579, 0.898, 0.738], [0.736, 0.736, 0.254], [0.898, 0.579, 0.738]], "e_tot_ev_per_atom": -8.7154, "sg": "C2/m (12)"}